# Th4SiNi3 GGA-PBE optimized geometry
data_Th4SiNi3
_chemical_formula_sum 'Th4 Si1 Ni3'
_symmetry_space_group_name_H-M 'P m m 2'
_symmetry_Int_Tables_number 25
_symmetry_space_group_name_Hall 'P 2 -2'
_cell_length_a 3.928
_cell_length_b 4.070
_cell_length_c 11.104
_cell_angle_alpha 90.00
_cell_angle_beta 90.00
_cell_angle_gamma 90.00
loop_
_atom_site_label
_atom_site_fract_x
_atom_site_fract_y
_atom_site_fract_z
Th1 0.000 0.000 0.000
Th2 0.000 0.500 0.281
Th3 0.500 0.000 0.490
Th4 0.500 0.500 0.787
Si1 0.000 0.000 0.701
Ni1 0.000 0.500 0.579
Ni2 0.500 0.000 0.205
Ni3 0.500 0.500 0.066
# - E (eV per atom) = -7.043